Entry 1:
Computed, not measured: an optimized crystal structure of Tb6Ge3O at the GGA-PBE level of DFT.

Calculated values
energy = -5.727 eV/atom
raw formation energy = -1.07 eV/atom
space-group type = Cmc2_1, No. 36

Unit cell a=6.791 b=8.955 c=8.955 alpha=102.12 beta=90.00 gamma=90.00
Element x y z (fractional)
Tb 0.197 0.690 0.634
Tb 0.697 0.634 0.690
Tb 0.183 0.424 0.890
Tb 0.683 0.890 0.424
Tb 0.151 0.049 0.951
Tb 0.700 0.225 0.775
Tb 0.200 0.775 0.225
Tb 0.651 0.951 0.049
Tb 0.183 0.110 0.576
Tb 0.683 0.576 0.110
Tb 0.197 0.366 0.310
Tb 0.697 0.310 0.366
Ge 0.471 0.935 0.719
Ge 0.971 0.719 0.935
Ge 0.410 0.388 0.612
Ge 0.910 0.612 0.388
Ge 0.971 0.065 0.281
Ge 0.471 0.281 0.065
O 0.025 0.199 0.801
O 0.525 0.801 0.199

Entry 2:
Computed, not measured: an optimized crystal structure of TbTlGeO4 at the GGA-PBE level of DFT.

Calculated values
energy = -6.606 eV/atom
raw formation energy = -2.11 eV/atom
space-group type = P2_1/m, No. 11

Unit cell a=5.905 b=5.937 c=7.706 alpha=90.00 beta=106.89 gamma=90.00
Element x y z (fractional)
Tb 0.799 0.750 0.452
Tb 0.201 0.250 0.548
Tl 0.667 0.750 0.905
Tl 0.333 0.250 0.095
Ge 0.265 0.750 0.349
Ge 0.735 0.250 0.651
O 0.939 0.476 0.663
O 0.061 0.976 0.337
O 0.061 0.524 0.337
O 0.939 0.024 0.663
O 0.455 0.750 0.209
O 0.545 0.250 0.791
O 0.475 0.750 0.569
O 0.525 0.250 0.431